Entry 1:
Zr2Ni3 (PBE-GGA, relaxed); ΔE to the lowest computed polymorph = 2.19 kJ/mol of atoms; VASP energy = -7.28 eV/atom; space group = Cmce; ΔH_f (0 K) = -388 meV per atom
1.0
2.487 -4.308 0.000
2.487 4.308 0.000
0.000 0.000 7.262
Zr Ni
4 6
Cartesian
2.487 2.932 6.548 Zr
2.487 1.376 2.917 Zr
2.487 -1.376 4.345 Zr
2.487 -2.932 0.714 Zr
0.000 0.000 3.631 Ni
1.244 0.867 5.446 Ni
1.244 -0.867 1.815 Ni
2.487 0.000 0.000 Ni
3.731 0.867 5.446 Ni
3.731 -0.867 1.815 Ni

***

Entry 2:
Co3CI (PBE-GGA, relaxed); ΔE to the lowest computed polymorph = 195.27 kJ/mol of atoms; VASP energy = -3.78 eV/atom; space group = Pm-3m
1.0
4.643 0.000 0.000
0.000 4.643 0.000
0.000 0.000 4.643
Co C I
3 1 1
Cartesian
0.000 0.000 2.321 Co
0.000 2.321 0.000 Co
2.321 0.000 0.000 Co
2.321 2.321 2.321 C
0.000 0.000 0.000 I